No. 1
{"formula": "Pm3PrTm4", "functional": "PBE-GGA", "state": "optimized geometry", "relative_energy_ev_per_fu": 0.05, "formation_enthalpy_0k_ev_per_atom": 0.03, "rho_g_cm3": 7.94, "e_tot_ev_per_cell": -73.417, "space_group": "Pmn2_1, No. 31", "total_magnetization_mub_per_fu": 0.00, "lattice": [[11.450, 0.000, 0.000], [0.000, 7.294, 0.000], [0.000, 0.000, 6.269]], "species": ["Pm", "Pm", "Pm", "Pm", "Pm", "Pm", "Pr", "Pr", "Tm", "Tm", "Tm", "Tm", "Tm", "Tm", "Tm", "Tm"], "fractional_positions": [[0.000, 0.129, 0.000], [0.250, 0.129, 0.337], [0.250, 0.871, 0.837], [0.500, 0.871, 0.500], [0.750, 0.129, 0.337], [0.750, 0.871, 0.837], [0.000, 0.873, 0.500], [0.500, 0.127, 0.000], [0.000, 0.380, 0.503], [0.000, 0.620, 0.002], [0.249, 0.380, 0.836], [0.251, 0.620, 0.336], [0.500, 0.380, 0.502], [0.500, 0.620, 0.003], [0.749, 0.620, 0.336], [0.751, 0.380, 0.836]]}

No. 2
{"formula": "Pm4Pr2Tm3", "functional": "PBE-GGA", "state": "optimized geometry", "relative_energy_ev_per_fu": 0.30, "formation_enthalpy_0k_ev_per_atom": 0.08, "rho_g_cm3": 7.60, "e_tot_ev_per_cell": -82.436, "space_group": "C2/c, No. 15", "total_magnetization_mub_per_fu": 0.00, "lattice": [[8.166, -5.909, 0.000], [8.166, 5.909, 0.000], [-0.673, 0.000, 6.194]], "species": ["Pm", "Pm", "Pm", "Pm", "Pm", "Pm", "Pm", "Pm", "Pr", "Pr", "Pr", "Pr", "Tm", "Tm", "Tm", "Tm", "Tm", "Tm"], "fractional_positions": [[0.092, 0.811, 0.986], [0.144, 0.425, 0.153], [0.189, 0.908, 0.514], [0.425, 0.144, 0.653], [0.575, 0.856, 0.347], [0.811, 0.092, 0.486], [0.856, 0.575, 0.847], [0.908, 0.189, 0.014], [0.239, 0.523, 0.680], [0.477, 0.761, 0.820], [0.523, 0.239, 0.180], [0.761, 0.477, 0.320], [0.067, 0.266, 0.586], [0.266, 0.067, 0.086], [0.399, 0.601, 0.250], [0.601, 0.399, 0.750], [0.734, 0.933, 0.914], [0.933, 0.734, 0.414]]}

No. 3
{"formula": "Pm4Pr2Tm5", "functional": "PBE-GGA", "state": "optimized geometry", "relative_energy_ev_per_fu": 0.00, "formation_enthalpy_0k_ev_per_atom": 0.05, "rho_g_cm3": 7.80, "e_tot_ev_per_cell": -50.344, "space_group": "P-1, No. 2", "total_magnetization_mub_per_fu": 0.00, "lattice": [[3.586, 0.000, 0.000], [0.066, 8.633, 0.000], [1.342, 0.076, 11.731]], "species": ["Pm", "Pm", "Pm", "Pm", "Pr", "Pr", "Tm", "Tm", "Tm", "Tm", "Tm"], "fractional_positions": [[0.010, 0.205, 0.472], [0.117, 0.254, 0.179], [0.883, 0.746, 0.821], [0.990, 0.795, 0.528], [0.149, 0.650, 0.100], [0.851, 0.350, 0.900], [0.409, 0.073, 0.715], [0.454, 0.473, 0.648], [0.500, 0.000, 0.000], [0.546, 0.527, 0.352], [0.591, 0.927, 0.285]]}